No. 1
Density functional theory data (GGA-PBE) for a geometry-optimized Tb3TeOs structure.

Formation energy from raw total energies ... -0.5988 eV per atom
DFT total energy ... -125.02 eV for the cell shown

```
data_Tb3TeOs
_chemical_formula_sum 'Tb12 Te4 Os4'
_cell_length_a 15.321
_cell_length_b 4.754
_cell_length_c 8.813
_cell_angle_alpha 90.00
_cell_angle_beta 118.24
_cell_angle_gamma 90.00
_space_group_name_H-M_alt 'C 1 2/m 1'
_space_group_IT_number 12
_space_group_name_Hall '-C 2y'
loop_
_atom_site_label
_atom_site_type_symbol
_atom_site_fract_x
_atom_site_fract_y
_atom_site_fract_z
_atom_site_occupancy
Tb1 Tb 0.063 0.000 0.204 1
Tb2 Tb 0.105 0.500 0.811 1
Tb3 Tb 0.247 0.500 0.233 1
Te1 Te 0.132 0.500 0.470 1
Os1 Os 0.166 0.000 0.004 1
```



No. 2
Density functional theory data (GGA-PBE) for a geometry-optimized Tb4TeOs structure.

Formation energy from raw total energies ... -0.6113 eV per atom
DFT total energy ... -146.24 eV for the cell shown

```
data_Tb4TeOs
_chemical_formula_sum 'Tb16 Te4 Os4'
_cell_length_a 8.110
_cell_length_b 4.068
_cell_length_c 19.551
_cell_angle_alpha 90.00
_cell_angle_beta 90.00
_cell_angle_gamma 90.00
_space_group_name_H-M_alt 'P n m a'
_space_group_IT_number 62
_space_group_name_Hall '-P 2ac 2n'
loop_
_atom_site_label
_atom_site_type_symbol
_atom_site_fract_x
_atom_site_fract_y
_atom_site_fract_z
_atom_site_occupancy
Tb1 Tb 0.001 0.250 0.067 1
Tb2 Tb 0.046 0.750 0.214 1
Tb3 Tb 0.139 0.750 0.643 1
Tb4 Tb 0.140 0.750 0.454 1
Te1 Te 0.244 0.250 0.308 1
Os1 Os 0.246 0.250 0.550 1
```



No. 3
Density functional theory data (GGA-PBE) for a geometry-optimized Tb5Te2Os2 structure.

Formation energy from raw total energies ... -0.7452 eV per atom
DFT total energy ... -234.40 eV for the cell shown

```
data_Tb5Te2Os2
_chemical_formula_sum 'Tb20 Te8 Os8'
_cell_length_a 15.877
_cell_length_b 7.808
_cell_length_c 7.740
_cell_angle_alpha 90.00
_cell_angle_beta 90.00
_cell_angle_gamma 90.00
_space_group_name_H-M_alt 'C m c e'
_space_group_IT_number 64
_space_group_name_Hall '-C 2ac 2'
loop_
_atom_site_label
_atom_site_type_symbol
_atom_site_fract_x
_atom_site_fract_y
_atom_site_fract_z
_atom_site_occupancy
Tb1 Tb 0.000 0.000 0.000 1
Tb2 Tb 0.119 0.175 0.327 1
Te1 Te 0.212 0.000 0.000 1
Os1 Os 0.000 0.116 0.614 1
```



No. 4
Density functional theory data (GGA-PBE) for a geometry-optimized TbTh3Os8 structure.

ΔE_f ... -0.2539 eV per atom
DFT total energy ... -359.32 eV for the cell shown

```
data_TbTh3Os8
_chemical_formula_sum 'Tb3 Th9 Os24'
_cell_length_a 5.4359
_cell_length_b 5.4359
_cell_length_c 26.6865
_cell_angle_alpha 90.00
_cell_angle_beta 90.00
_cell_angle_gamma 120.00
_space_group_name_H-M_alt 'R 3 m'
_space_group_IT_number 160
_space_group_name_Hall 'R 3 -2"'
loop_
_atom_site_label
_atom_site_type_symbol
_atom_site_fract_x
_atom_site_fract_y
_atom_site_fract_z
_atom_site_occupancy
Tb1 Tb 0.0000 0.0000 0.0000 1
Th1 Th 0.0000 0.0000 0.3748 1
Th2 Th 0.0000 0.0000 0.5005 1
Th3 Th 0.0000 0.0000 0.8760 1
Os1 Os 0.0000 0.0000 0.1873 1
Os2 Os 0.0000 0.0000 0.6869 1
Os3 Os 0.0023 0.5011 0.9386 1
Os4 Os 0.1673 0.3345 0.7701 1
```



No. 5
Density functional theory data (GGA-PBE) for a geometry-optimized TbTh2Os structure.

ΔE_f ... 0.1811 eV per atom
DFT total energy ... -89.93 eV for the cell shown

```
data_TbTh2Os
_chemical_formula_sum 'Tb3 Th6 Os3'
_cell_length_a 3.9225
_cell_length_b 3.9225
_cell_length_c 30.8012
_cell_angle_alpha 90.00
_cell_angle_beta 90.00
_cell_angle_gamma 120.00
_space_group_name_H-M_alt 'R -3 m'
_space_group_IT_number 166
_space_group_name_Hall '-R 3 2"'
loop_
_atom_site_label
_atom_site_type_symbol
_atom_site_fract_x
_atom_site_fract_y
_atom_site_fract_z
_atom_site_occupancy
Tb1 Tb 0.0000 0.0000 0.0000 1
Th1 Th 0.0000 0.0000 0.1134 1
Os1 Os 0.0000 0.0000 0.5000 1
```



No. 6
Density functional theory data (GGA-PBE) for a geometry-optimized TbThOs structure.

ΔE_f ... -0.1270 eV per atom
DFT total energy ... -47.32 eV for the cell shown

```
data_TbThOs
_chemical_formula_sum 'Tb2 Th2 Os2'
_cell_length_a 3.421
_cell_length_b 3.421
_cell_length_c 13.576
_cell_angle_alpha 90.00
_cell_angle_beta 90.00
_cell_angle_gamma 90.00
_space_group_name_H-M_alt 'I 4 m m'
_space_group_IT_number 107
_space_group_name_Hall 'I 4 -2'
loop_
_atom_site_label
_atom_site_type_symbol
_atom_site_fract_x
_atom_site_fract_y
_atom_site_fract_z
_atom_site_occupancy
Tb1 Tb 0.000 0.000 0.000 1
Th1 Th 0.000 0.000 0.258 1
Os1 Os 0.000 0.000 0.630 1
```



No. 7
Density functional theory data (GGA-PBE) for a geometry-optimized Tb2ThOs structure.

ΔE_f ... -0.2083 eV per atom
DFT total energy ... -114.97 eV for the cell shown

```
data_Tb2ThOs
_chemical_formula_sum 'Tb8 Th4 Os4'
_cell_length_a 3.921
_cell_length_b 12.170
_cell_length_c 9.376
_cell_angle_alpha 90.00
_cell_angle_beta 90.00
_cell_angle_gamma 90.00
_space_group_name_H-M_alt 'C m c m'
_space_group_IT_number 63
_space_group_name_Hall '-C 2c 2'
loop_
_atom_site_label
_atom_site_type_symbol
_atom_site_fract_x
_atom_site_fract_y
_atom_site_fract_z
_atom_site_occupancy
Tb1 Tb 0.000 0.145 0.070 1
Th1 Th 0.000 0.423 0.250 1
Os1 Os 0.000 0.237 0.750 1
```



No. 8
Density functional theory data (GGA-PBE) for a geometry-optimized Tb2ThOs2 structure.

ΔE_f ... -0.2568 eV per atom
DFT total energy ... -80.85 eV for the cell shown

```
data_Tb2ThOs2
_chemical_formula_sum 'Tb4 Th2 Os4'
_cell_length_a 4.393
_cell_length_b 5.955
_cell_length_c 9.133
_cell_angle_alpha 90.00
_cell_angle_beta 90.00
_cell_angle_gamma 90.00
_space_group_name_H-M_alt 'I m m m'
_space_group_IT_number 71
_space_group_name_Hall '-I 2 2'
loop_
_atom_site_label
_atom_site_type_symbol
_atom_site_fract_x
_atom_site_fract_y
_atom_site_fract_z
_atom_site_occupancy
Tb1 Tb 0.000 0.000 0.196 1
Th1 Th 0.000 0.500 0.000 1
Os1 Os 0.000 0.280 0.500 1
```



The highest DFT total energy belongs to which entry?
TbThOs



Which of these has the highest DFT total energy?
TbThOs